[1]
Crystalline Te8Cl at its relaxed geometry, computed with PBE-GGA.

Summary:
uncorrected formation energy = 0.27 eV/atom
volume = 259 Å³ per cell
spin magnetization = 0.00 μB/cell

Unit cell a=7.903 b=7.903 c=7.903 alpha=94.69 beta=94.69 gamma=146.77
Positions (direct):
Cl (0.000, 0.000, 0.000)
Te (0.000, 0.314, 0.314)
Te (0.643, 0.643, 0.286)
Te (0.357, 0.643, 0.000)
Te (0.357, 0.357, 0.714)
Te (0.686, 0.000, 0.686)
Te (0.643, 0.357, 0.000)
Te (0.000, 0.686, 0.686)
Te (0.314, 0.000, 0.314)

***

[2]
Crystalline Sb2IrOs at its relaxed geometry, computed with PBE-GGA.

Summary:
ΔE to the lowest computed polymorph = 236 meV per atom
uncorrected formation energy = 0.47 eV/atom
volume = 85 Å³ per cell
spin magnetization = 0.00 μB/cell

Unit cell a=10.476 b=10.476 c=10.476 alpha=16.96 beta=16.96 gamma=16.96
Positions (direct):
Sb (0.227, 0.227, 0.227)
Sb (0.024, 0.024, 0.024)
Ir (0.493, 0.493, 0.493)
Os (0.756, 0.756, 0.756)

***

Among the records above, which one has the highest uncorrected formation energy?
Sb2IrOs